[1]
# NaNd2Co, optimized geometry, DFT PBE
# D(E_F): 3.8 states/eV/cell
# energy: -4.41 eV per atom
# energy relative to the lowest polymorph listed for this composition: 64 meV per atom
data_NaNd2Co
_space_group_name_H-M_alt 'P 1'
_space_group_IT_number 1
_space_group_name_Hall 'P 1'
_cell_length_a 10.7610
_cell_length_b 10.7610
_cell_length_c 10.7610
_cell_angle_alpha 21.11
_cell_angle_beta 21.11
_cell_angle_gamma 21.11
loop_
_atom_site_label
_atom_site_fract_x
_atom_site_fract_y
_atom_site_fract_z
_atom_site_occupancy
Na1 0.0000 0.0000 0.0000 1
Nd1 0.1195 0.1195 0.1195 1
Nd2 0.8805 0.8805 0.8805 1
Co1 0.5000 0.5000 0.5000 1

=====

[2]
# NaNd2Co, optimized geometry, DFT PBE
# D(E_F): 3.5 states/eV/cell
# energy: -4.44 eV per atom
# energy relative to the lowest polymorph listed for this composition: 39 meV per atom
data_NaNd2Co
_space_group_name_H-M_alt 'P 1'
_space_group_IT_number 1
_space_group_name_Hall 'P 1'
_cell_length_a 3.4783
_cell_length_b 3.4783
_cell_length_c 9.5243
_cell_angle_alpha 90.00
_cell_angle_beta 90.00
_cell_angle_gamma 90.00
loop_
_atom_site_label
_atom_site_fract_x
_atom_site_fract_y
_atom_site_fract_z
_atom_site_occupancy
Na1 0.0000 0.0000 0.0000 1
Nd1 0.5000 0.5000 0.3251 1
Nd2 0.5000 0.5000 0.6749 1
Co1 0.0000 0.0000 0.5000 1

=====

[3]
# NaNd12Co6, optimized geometry, DFT PBE
# D(E_F): 15.0 states/eV/cell
# energy: -5.38 eV per atom
data_NaNd12Co6
_space_group_name_H-M_alt 'P 1'
_space_group_IT_number 1
_space_group_name_Hall 'P 1'
_cell_length_a 8.7673
_cell_length_b 8.7673
_cell_length_c 8.7673
_cell_angle_alpha 109.47
_cell_angle_beta 109.47
_cell_angle_gamma 109.47
loop_
_atom_site_label
_atom_site_fract_x
_atom_site_fract_y
_atom_site_fract_z
_atom_site_occupancy
Na1 0.0000 0.0000 0.0000 1
Nd1 0.1154 0.8035 0.3119 1
Nd2 0.1965 0.3119 0.5084 1
Nd3 0.1965 0.6881 0.8846 1
Nd4 0.3119 0.1154 0.8035 1
Nd5 0.3119 0.5084 0.1965 1
Nd6 0.4916 0.8035 0.6881 1
Nd7 0.5084 0.1965 0.3119 1
Nd8 0.6881 0.4916 0.8035 1
Nd9 0.6881 0.8846 0.1965 1
Nd10 0.8035 0.3119 0.1154 1
Nd11 0.8035 0.6881 0.4916 1
Nd12 0.8846 0.1965 0.6881 1
Co1 0.1101 0.6101 0.5000 1
Co2 0.3899 0.5000 0.8899 1
Co3 0.5000 0.1101 0.6101 1
Co4 0.5000 0.8899 0.3899 1
Co5 0.6101 0.5000 0.1101 1
Co6 0.8899 0.3899 0.5000 1

=====

[4]
# NaNdCo, optimized geometry, DFT PBE
# D(E_F): 3.2 states/eV/cell
# energy: -4.02 eV per atom
# energy relative to the lowest polymorph listed for this composition: 443 meV per atom
data_NaNdCo
_space_group_name_H-M_alt 'P 1'
_space_group_IT_number 1
_space_group_name_Hall 'P 1'
_cell_length_a 5.3291
_cell_length_b 5.3291
_cell_length_c 8.5611
_cell_angle_alpha 98.93
_cell_angle_beta 98.93
_cell_angle_gamma 37.69
loop_
_atom_site_label
_atom_site_fract_x
_atom_site_fract_y
_atom_site_fract_z
_atom_site_occupancy
Na1 0.1300 0.1300 0.4455 1
Na2 0.8700 0.8700 0.5545 1
Nd1 0.3800 0.3800 0.1336 1
Nd2 0.6200 0.6200 0.8664 1
Co1 0.3306 0.3306 0.8175 1
Co2 0.6694 0.6694 0.1825 1

=====

no.,DFT formation energy (eV/f.u.)
1,0.32
2,0.22
3,-1.08
4,1.15